(one)
# HfZrTa2 (PBE, optimized geometry)
data_HfZrTa2
_symmetry_space_group_name_H-M 'P 1'
_symmetry_Int_Tables_number 1
_cell_length_a 4.852
_cell_length_b 4.852
_cell_length_c 4.852
_cell_angle_alpha 60.00
_cell_angle_beta 60.00
_cell_angle_gamma 60.00
loop_
_symmetry_equiv_pos_as_xyz
'x,y,z'
loop_
_atom_site_label
_atom_site_type_symbol
_atom_site_fract_x
_atom_site_fract_y
_atom_site_fract_z
_atom_site_occupancy
Ta1 Ta 0.750 0.750 0.750 1
Hf1 Hf 0.500 0.500 0.500 1
Ta2 Ta 0.250 0.250 0.250 1
Zr1 Zr 0.000 0.000 0.000 1
# - Magnetization: 0.000 μB/f.u.

***

(two)
# HfZrTa2 (PBE, optimized geometry)
data_HfZrTa2
_symmetry_space_group_name_H-M 'P 1'
_symmetry_Int_Tables_number 1
_cell_length_a 7.688
_cell_length_b 7.688
_cell_length_c 6.146
_cell_angle_alpha 51.29
_cell_angle_beta 51.29
_cell_angle_gamma 90.00
loop_
_symmetry_equiv_pos_as_xyz
'x,y,z'
loop_
_atom_site_label
_atom_site_type_symbol
_atom_site_fract_x
_atom_site_fract_y
_atom_site_fract_z
_atom_site_occupancy
Ta1 Ta 0.124 0.625 0.250 1
Ta2 Ta 0.875 0.876 0.750 1
Ta3 Ta 0.626 0.125 0.250 1
Hf1 Hf 0.000 0.000 0.000 1
Zr1 Zr 0.500 0.500 0.000 1
Ta4 Ta 0.375 0.374 0.750 1
Zr2 Zr 0.250 0.750 0.500 1
Hf2 Hf 0.750 0.250 0.500 1
# - Magnetization: 0.000 μB/f.u.

***

Computed relative energies in units of meV per atom: (one) 0; (two) 521

***

(one)
# HfZrTa (PBE, optimized geometry)
data_HfZrTa
_symmetry_space_group_name_H-M 'P 1'
_symmetry_Int_Tables_number 1
_cell_length_a 3.443
_cell_length_b 3.443
_cell_length_c 5.852
_cell_angle_alpha 107.11
_cell_angle_beta 107.11
_cell_angle_gamma 90.00
loop_
_symmetry_equiv_pos_as_xyz
'x,y,z'
loop_
_atom_site_label
_atom_site_type_symbol
_atom_site_fract_x
_atom_site_fract_y
_atom_site_fract_z
_atom_site_occupancy
Ta1 Ta 0.666 0.666 0.332 1
Hf1 Hf 0.011 0.011 0.022 1
Zr1 Zr 0.323 0.323 0.646 1
# - Magnetization: 0.000 μB/f.u.

***

(two)
# HfZrTa (PBE, optimized geometry)
data_HfZrTa
_symmetry_space_group_name_H-M 'P 1'
_symmetry_Int_Tables_number 1
_cell_length_a 3.035
_cell_length_b 4.892
_cell_length_c 4.892
_cell_angle_alpha 120.00
_cell_angle_beta 90.00
_cell_angle_gamma 90.00
loop_
_symmetry_equiv_pos_as_xyz
'x,y,z'
loop_
_atom_site_label
_atom_site_type_symbol
_atom_site_fract_x
_atom_site_fract_y
_atom_site_fract_z
_atom_site_occupancy
Hf1 Hf 0.329 0.667 0.333 1
Ta1 Ta 0.927 0.000 0.000 1
Zr1 Zr 0.744 0.333 0.667 1
# - Magnetization: 0.000 μB/f.u.

***

Computed relative energies in units of meV per atom: (one) 16; (two) 0

***

(one)
# Tb3Hf (PBE, optimized geometry)
data_Tb3Hf
_symmetry_space_group_name_H-M 'P 1'
_symmetry_Int_Tables_number 1
_cell_length_a 3.331
_cell_length_b 3.332
_cell_length_c 10.863
_cell_angle_alpha 90.00
_cell_angle_beta 90.00
_cell_angle_gamma 90.00
loop_
_symmetry_equiv_pos_as_xyz
'x,y,z'
loop_
_atom_site_label
_atom_site_type_symbol
_atom_site_fract_x
_atom_site_fract_y
_atom_site_fract_z
_atom_site_occupancy
Tb1 Tb 0.000 0.500 0.469 1
Tb2 Tb 0.500 0.500 0.178 1
Hf1 Hf 0.000 0.000 0.973 1
Tb3 Tb 0.500 0.000 0.713 1
# - Magnetization: 0.000 μB/f.u.

***

(two)
# Tb3Hf (PBE, optimized geometry)
data_Tb3Hf
_symmetry_space_group_name_H-M 'P 1'
_symmetry_Int_Tables_number 1
_cell_length_a 4.871
_cell_length_b 4.871
_cell_length_c 5.941
_cell_angle_alpha 114.20
_cell_angle_beta 114.20
_cell_angle_gamma 90.00
loop_
_symmetry_equiv_pos_as_xyz
'x,y,z'
loop_
_atom_site_label
_atom_site_type_symbol
_atom_site_fract_x
_atom_site_fract_y
_atom_site_fract_z
_atom_site_occupancy
Tb1 Tb 0.250 0.750 0.500 1
Tb2 Tb 0.500 0.500 0.000 1
Hf1 Hf 0.000 0.000 0.000 1
Tb3 Tb 0.750 0.250 0.500 1
# - Magnetization: 0.000 μB/f.u.

***

Computed relative energies in units of meV per atom: (one) 144; (two) 0